The following is a PBE calculation of AlV2H4 after structural relaxation, from Alexandria. Values from VASP.

Summary:
Space-group type: I4_122 (98)
Distance to the lowest polymorph of the same formula, eV/atom: 0.000
Total magnetic moment, μB/atom: 0.00
Uncorrected energy, eV/atom: -5.08

Quantum ESPRESSO input file:
```
&SYSTEM
  ibrav = 0, nat = 14, ntyp = 3
/
ATOMIC_SPECIES
Al 26.98 Al.upf
V 50.94 V.upf
H 1.01 H.upf
ATOMIC_POSITIONS crystal
Al 0.000 0.000 0.000
Al 0.750 0.250 0.500
V 0.355 0.625 0.230
V 0.375 0.645 0.770
V 0.395 0.125 0.770
V 0.875 0.605 0.230
H 0.060 0.841 0.248
H 0.156 0.409 0.718
H 0.159 0.940 0.752
H 0.188 0.406 0.248
H 0.562 0.310 0.718
H 0.591 0.844 0.282
H 0.594 0.812 0.752
H 0.690 0.438 0.282
CELL_PARAMETERS angstrom
-2.437 2.437 4.640
2.437 -2.437 4.640
2.437 2.437 -4.640
```